Crystalline Ca2YW at its relaxed geometry. Source: the Alexandria database, functional PBE.

Geometry as POSCAR:
```
Ca2YW
1.0
4.623 0.000 0.000
0.000 4.623 0.000
0.000 0.000 10.069
Ca Y W
4 2 2
Direct
0.000 0.500 0.250
0.000 0.500 0.750
0.500 0.000 0.250
0.500 0.000 0.750
0.000 0.000 0.000
0.500 0.500 0.500
0.000 0.000 0.500
0.500 0.500 0.000
```

- Total magnetic moment: 1.15 μB/cell
- ΔE to the lowest computed polymorph: 0.2037 eV per atom
- Final energy: -40.4 eV/cell
- Formation energy from the elements: 0.8010 eV per atom
- Crystal system: tetragonal

---

Crystalline Ce2HoRh3 at its relaxed geometry. Source: the Alexandria database, functional PBE.

Geometry as POSCAR:
```
Ce2HoRh3
1.0
6.310 -2.851 0.000
6.310 2.851 0.000
-2.450 0.000 7.466
Ce Ho Rh
4 2 6
Direct
0.151 0.183 0.082
0.183 0.151 0.582
0.817 0.849 0.418
0.849 0.817 0.918
0.446 0.554 0.750
0.554 0.446 0.250
0.056 0.944 0.250
0.313 0.347 0.412
0.347 0.313 0.912
0.653 0.687 0.088
0.687 0.653 0.588
0.944 0.056 0.750
```

- Total magnetic moment: 0.00 μB/cell
- Final energy: -85.3 eV/cell
- Formation energy from the elements: -0.6948 eV per atom
- Crystal system: monoclinic

---

Crystalline Er4PtAu3 at its relaxed geometry. Source: the Alexandria database, functional PBE.

Geometry as POSCAR:
```
Er4PtAu3
1.0
3.704 0.000 0.000
0.000 4.628 0.000
0.000 0.000 10.736
Er Pt Au
4 1 3
Direct
0.000 0.000 0.000
0.000 0.500 0.268
0.500 0.000 0.483
0.500 0.500 0.771
0.500 0.000 0.219
0.000 0.000 0.721
0.000 0.500 0.542
0.500 0.500 0.042
```

- Total magnetic moment: 0.00 μB/cell
- Final energy: -42.2 eV/cell
- Formation energy from the elements: -1.0108 eV per atom
- Crystal system: orthorhombic

---

Crystalline CsSi2Rh at its relaxed geometry. Source: the Alexandria database, functional PBE.

Geometry as POSCAR:
```
CsSi2Rh
1.0
6.901 0.000 0.000
0.000 6.901 0.000
0.000 0.000 6.901
Cs Si Rh
4 8 4
Direct
0.000 0.000 0.000
0.000 0.500 0.500
0.500 0.000 0.500
0.500 0.500 0.000
0.250 0.250 0.250
0.250 0.250 0.750
0.250 0.750 0.250
0.250 0.750 0.750
0.750 0.250 0.250
0.750 0.250 0.750
0.750 0.750 0.250
0.750 0.750 0.750
0.000 0.000 0.500
0.000 0.500 0.000
0.500 0.000 0.000
0.500 0.500 0.500
```

- Total magnetic moment: 0.00 μB/cell
- ΔE to the lowest computed polymorph: 1.1442 eV per atom
- Final energy: -60.8 eV/cell
- Crystal system: cubic

---

Crystalline Sc2BeAs2 at its relaxed geometry. Source: the Alexandria database, functional PBE.

Geometry as POSCAR:
```
Sc2BeAs2
1.0
6.849 0.000 0.000
0.000 6.849 0.000
0.000 0.000 3.761
Sc Be As
4 2 4
Direct
0.157 0.343 0.000
0.343 0.843 0.000
0.657 0.157 0.000
0.843 0.657 0.000
0.000 0.000 0.500
0.500 0.500 0.500
0.157 0.657 0.500
0.343 0.157 0.500
0.657 0.843 0.500
0.843 0.343 0.500
```

- Total magnetic moment: 0.00 μB/cell
- Final energy: -58.7 eV/cell
- Formation energy from the elements: -0.7316 eV per atom
- Crystal system: tetragonal

---

Crystalline MgZn2Cl at its relaxed geometry. Source: the Alexandria database, functional PBE.

Geometry as POSCAR:
```
MgZn2Cl
1.0
7.142 0.000 0.000
0.000 7.142 0.000
0.000 0.000 7.142
Mg Zn Cl
4 8 4
Direct
0.000 0.000 0.000
0.000 0.500 0.500
0.500 0.000 0.500
0.500 0.500 0.000
0.250 0.250 0.250
0.250 0.250 0.750
0.250 0.750 0.250
0.250 0.750 0.750
0.750 0.250 0.250
0.750 0.250 0.750
0.750 0.750 0.250
0.750 0.750 0.750
0.000 0.000 0.500
0.000 0.500 0.000
0.500 0.000 0.000
0.500 0.500 0.500
```

- Total magnetic moment: 0.00 μB/cell
- ΔE to the lowest computed polymorph: 0.4853 eV per atom
- Final energy: -22.5 eV/cell
- Crystal system: cubic

---

Crystalline YBeW2 at its relaxed geometry. Source: the Alexandria database, functional PBE.

Geometry as POSCAR:
```
YBeW2
1.0
2.910 0.000 0.000
-1.455 2.520 0.000
0.000 0.000 27.727
Y Be W
3 3 6
Direct
0.000 0.000 0.000
0.333 0.667 0.667
0.667 0.333 0.333
0.000 0.000 0.500
0.333 0.667 0.167
0.667 0.333 0.833
0.000 0.000 0.236
0.000 0.000 0.764
0.333 0.667 0.431
0.333 0.667 0.903
0.667 0.333 0.097
0.667 0.333 0.569
```

- Total magnetic moment: 0.00 μB/cell
- Final energy: -99.2 eV/cell
- Formation energy from the elements: 0.7547 eV per atom
- Crystal system: trigonal

---

Crystalline TlZn2NiSn at its relaxed geometry. Source: the Alexandria database, functional PBE.

Geometry as POSCAR:
```
TlZn2NiSn
1.0
4.782 0.000 0.000
0.000 4.782 0.000
0.000 0.000 4.834
Tl Zn Ni Sn
1 2 1 1
Direct
0.000 0.000 0.000
0.000 0.500 0.500
0.500 0.000 0.500
0.500 0.500 0.500
0.500 0.500 0.000
```

- Total magnetic moment: 0.00 μB/cell
- Final energy: -14.4 eV/cell
- Formation energy from the elements: 0.0501 eV per atom
- Crystal system: tetragonal

---

Crystalline NiBC at its relaxed geometry. Source: the Alexandria database, functional PBE.

Geometry as POSCAR:
```
NiBC
1.0
4.874 0.000 0.000
0.000 2.684 0.000
-2.013 0.000 3.630
Ni B C
2 2 2
Direct
0.000 0.000 0.000
0.500 0.500 0.000
0.415 0.000 0.507
0.915 0.500 0.507
0.217 0.500 0.462
0.717 0.000 0.462
```

- Total magnetic moment: 0.00 μB/cell
- ΔE to the lowest computed polymorph: 0.0142 eV per atom
- Final energy: -42.7 eV/cell
- Formation energy from the elements: 0.1166 eV per atom
- Crystal system: monoclinic

---

Crystalline Tm5Ni2Sb at its relaxed geometry. Source: the Alexandria database, functional PBE.

Geometry as POSCAR:
```
Tm5Ni2Sb
1.0
-3.759 3.759 6.625
3.759 -3.759 6.625
3.759 3.759 -6.625
Tm Ni Sb
10 4 2
Direct
0.000 0.000 0.000
0.021 0.521 0.814
0.206 0.021 0.500
0.294 0.794 0.814
0.479 0.294 0.500
0.500 0.500 0.000
0.521 0.706 0.500
0.706 0.206 0.186
0.794 0.979 0.500
0.979 0.479 0.186
0.131 0.369 0.500
0.369 0.869 0.238
0.631 0.131 0.762
0.869 0.631 0.500
0.250 0.250 0.000
0.750 0.750 0.000
```

- Total magnetic moment: 0.00 μB/cell
- Final energy: -85.0 eV/cell
- Crystal system: tetragonal

---

Crystalline LiTb2CuTe4 at its relaxed geometry. Source: the Alexandria database, functional PBE.

Geometry as POSCAR:
```
LiTb2CuTe4
1.0
7.387 0.000 0.000
0.000 4.308 0.000
-2.692 0.000 7.011
Li Tb Cu Te
1 2 1 4
Direct
0.000 0.000 0.000
0.500 0.000 0.500
0.500 0.500 0.000
0.000 0.500 0.500
0.229 0.000 0.734
0.238 0.500 0.244
0.762 0.500 0.756
0.771 0.000 0.266
```

- Total magnetic moment: 0.00 μB/cell
- Final energy: -35.8 eV/cell
- Crystal system: monoclinic

---

Crystalline Pm5Dy3Ho4 at its relaxed geometry. Source: the Alexandria database, functional PBE.

Geometry as POSCAR:
```
Pm5Dy3Ho4
1.0
6.200 0.000 0.000
-0.014 7.159 0.000
-0.014 -0.011 8.765
Pm Dy Ho
5 3 4
Direct
0.000 0.000 0.000
0.332 0.500 0.335
0.500 0.249 0.000
0.500 0.751 0.000
0.668 0.500 0.665
0.000 0.500 0.000
0.166 0.249 0.665
0.834 0.751 0.335
0.166 0.751 0.665
0.334 0.000 0.336
0.666 0.000 0.664
0.834 0.249 0.335
```

- Total magnetic moment: 0.00 μB/cell
- ΔE to the lowest computed polymorph: 0.0000 eV per atom
- Final energy: -55.7 eV/cell
- Formation energy from the elements: 0.0155 eV per atom
- Crystal system: triclinic